1.
Material: CdMoP3
Method: DFT, GGA-PBE
State: optimized geometry

The structure in POSCAR format:
```
CdMoP3
1.0
4.776 0.000 0.000
0.000 4.776 0.000
0.000 0.000 4.776
P Mo Cd
3 1 1
direct
0.000 0.500 0.000
0.000 0.000 0.500
0.500 0.000 0.000
0.500 0.500 0.500
0.000 0.000 0.000
```

- crystal system = cubic
- N(E_F) (states/eV/f.u.) = 9.14
- spin magnetization (μB/cell) = 0.00
- E above lowest polymorph (meV/atom) = 1448
- raw total energy (eV per atom) = -3.70
- calculated density (g/cm3) = 4.6



2.
Material: CdMoP2
Method: DFT, GGA-PBE
State: optimized geometry

The structure in POSCAR format:
```
CdMoP2
1.0
5.417 0.013 0.000
2.861 4.600 0.000
-4.139 -2.306 2.625
Cd Mo P
1 1 2
direct
0.500 0.500 0.000
0.750 0.250 0.500
0.000 0.000 0.000
0.250 0.750 0.500
```

- crystal system = tetragonal
- N(E_F) (states/eV/f.u.) = 3.02
- spin magnetization (μB/cell) = 0.41
- raw total energy (eV per atom) = -5.18
- calculated density (g/cm3) = 6.9



3.
Material: CdMoP2
Method: DFT, GGA-PBE
State: optimized geometry

The structure in POSCAR format:
```
CdMoP2
1.0
3.170 0.000 0.000
0.000 3.160 0.169
0.000 3.126 6.712
Cd Mo P
1 1 2
direct
0.500 0.250 0.250
0.500 0.750 0.750
0.000 0.036 0.947
0.000 0.464 0.553
```

- crystal system = monoclinic
- N(E_F) (states/eV/f.u.) = 0.66
- spin magnetization (μB/cell) = 0.00
- raw total energy (eV per atom) = -5.76
- calculated density (g/cm3) = 6.8